11
Lattice="9.5335 -3.0295 0.0000 9.5335 3.0295 0.0000 -2.6093 0.0000 6.5694" Properties=species:S:1:pos:R:3 comment="Tb5Pr5Tm | Alexandria via LeMat-Bulk | PBE | relaxed" dft_energy_ev_per_atom=-4.430 space_group="No. 12" e_form_ev_per_fu=2.79 magmom_total_mub_per_cell=0.01 pbc="T T T"
Tb 0.0000 0.0000 0.0000
Tb 5.4524 0.0000 2.1704
Tb 4.9159 0.0000 5.7601
Tb 11.5417 0.0000 0.8092
Tb 11.0052 0.0000 4.3990
Pr 2.2088 0.0000 2.8297
Pr 0.9324 0.0000 6.0393
Pr 8.2288 0.0000 3.2847
Pr 15.5252 0.0000 0.5301
Pr 14.2489 0.0000 3.7397
Tm -1.3047 0.0000 3.2847